[1]
A plane-wave DFT calculation with PBE was carried out for a geometry-optimized CsNa6Pb structure.

extended XYZ file:
```
8
Lattice="5.797 0.000 0.000 0.000 8.939 0.000 0.000 0.000 6.269" Properties=species:S:1:pos:R:3 pbc="T T T"
Cs 0.000 0.000 0.000
Na 0.000 2.788 2.976
Na 0.000 4.470 0.101
Na 0.000 6.152 2.976
Na 2.899 0.000 2.897
Na 2.899 2.849 5.149
Na 2.899 6.090 5.149
Pb 2.899 4.470 2.001
```

## Properties
E_form ... -0.01 eV per atom
Space group ... No. 25



[2]
A plane-wave DFT calculation with PBE was carried out for a geometry-optimized CsNa6Pb structure.

extended XYZ file:
```
8
Lattice="4.320 2.494 5.556 -4.320 2.494 5.556 0.000 -4.989 5.556" Properties=species:S:1:pos:R:3 pbc="T T T"
Cs 0.000 0.000 0.000
Na -2.550 -1.472 7.191
Na 0.000 -2.945 9.477
Na -2.550 1.472 9.477
Na 2.550 -1.472 7.191
Na 0.000 2.945 7.191
Na 2.550 1.472 9.477
Pb 0.000 0.000 8.334
```

## Properties
E_form ... 0.03 eV per atom
Space group ... No. 166



[3]
A plane-wave DFT calculation with PBE was carried out for a geometry-optimized Cs2Na5Pb4 structure.

extended XYZ file:
```
11
Lattice="6.776 -3.865 0.000 6.776 3.865 0.000 -6.120 0.000 8.049" Properties=species:S:1:pos:R:3 pbc="T T T"
Cs -0.548 0.000 1.993
Cs 7.981 0.000 6.056
Na 2.543 2.108 2.487
Na 4.889 2.108 5.562
Na 6.776 0.000 0.000
Na 2.543 -2.108 2.487
Na 4.889 -2.108 5.562
Pb 3.592 0.000 0.256
Pb 2.270 0.000 5.050
Pb 5.163 0.000 2.999
Pb 3.841 0.000 7.793
```

## Properties
E_form ... -0.09 eV per atom
Space group ... No. 12



[4]
A plane-wave DFT calculation with PBE was carried out for a geometry-optimized CsNa3Pb2 structure.

extended XYZ file:
```
12
Lattice="6.329 -5.408 0.000 6.329 5.408 0.000 0.000 0.000 6.967" Properties=species:S:1:pos:R:3 pbc="T T T"
Cs 6.329 3.763 5.225
Cs 6.329 -3.763 1.742
Na 3.786 2.810 1.742
Na 8.872 2.810 1.742
Na 6.329 0.183 1.742
Na 6.329 -0.183 5.225
Na 3.786 -2.810 5.225
Na 8.872 -2.810 5.225
Pb 3.505 0.000 0.000
Pb 3.505 0.000 3.483
Pb 9.153 0.000 0.000
Pb 9.153 0.000 3.483
```

## Properties
E_form ... -0.10 eV per atom
Space group ... No. 63



[5]
A plane-wave DFT calculation with PBE was carried out for a geometry-optimized CsNa2Pb structure.

extended XYZ file:
```
4
Lattice="2.770 1.599 6.805 -2.770 1.599 6.805 0.000 -3.198 6.805" Properties=species:S:1:pos:R:3 pbc="T T T"
Cs 0.000 0.000 0.000
Na 0.000 0.000 4.093
Na 0.000 0.000 16.321
Pb 0.000 0.000 10.207
```

## Properties
E_form ... -0.07 eV per atom
Space group ... No. 166



[6]
A plane-wave DFT calculation with PBE was carried out for a geometry-optimized Cs5Na4Pb structure.

extended XYZ file:
```
10
Lattice="13.737 -2.920 0.000 13.737 2.920 0.000 -0.836 0.000 8.607" Properties=species:S:1:pos:R:3 pbc="T T T"
Cs 0.000 0.000 0.000
Cs 6.971 0.000 6.385
Cs 10.449 0.000 1.955
Cs 16.190 0.000 6.652
Cs 19.668 0.000 2.222
Na 2.757 0.000 3.395
Na 12.165 0.000 5.524
Na 14.474 0.000 3.083
Na 23.882 0.000 5.212
Pb -0.418 0.000 4.304
```

## Properties
E_form ... -0.02 eV per atom
Space group ... No. 12



[7]
A plane-wave DFT calculation with PBE was carried out for a geometry-optimized CsNa6Pb6 structure.

extended XYZ file:
```
13
Lattice="-3.465 5.515 5.707 3.465 -5.515 5.707 3.465 5.515 -5.707" Properties=species:S:1:pos:R:3 pbc="T T T"
Cs 0.000 0.000 0.000
Na 3.465 0.000 2.260
Na 0.000 3.695 0.000
Na 0.000 0.000 3.956
Na 0.000 0.000 7.458
Na 0.000 7.336 0.000
Na 0.000 5.515 3.447
Pb 1.732 2.758 -2.854
Pb 1.732 -2.758 2.854
Pb 3.465 2.534 0.000
Pb -1.732 2.758 2.854
Pb 1.732 2.758 2.854
Pb 0.000 2.981 5.707
```

## Properties
E_form ... -0.12 eV per atom
Space group ... No. 71



[8]
A plane-wave DFT calculation with PBE was carried out for a geometry-optimized Cs2NaPb2 structure.

extended XYZ file:
```
10
Lattice="11.355 0.000 0.000 0.000 11.355 0.000 0.000 0.000 3.943" Properties=species:S:1:pos:R:3 pbc="T T T"
Cs 2.278 3.399 0.000
Cs 3.399 9.077 0.000
Cs 7.955 2.278 0.000
Cs 9.077 7.955 0.000
Na 0.000 0.000 1.971
Na 5.677 5.677 1.971
Pb 1.055 6.732 1.971
Pb 4.623 1.055 1.971
Pb 6.732 10.300 1.971
Pb 10.300 4.623 1.971
```

## Properties
E_form ... 0.04 eV per atom
Space group ... No. 127



[9]
A plane-wave DFT calculation with PBE was carried out for a geometry-optimized Cs3Na8Pb structure.

extended XYZ file:
```
12
Lattice="3.673 2.120 12.000 -3.673 2.120 12.000 0.000 -4.241 12.000" Properties=species:S:1:pos:R:3 pbc="T T T"
Cs 0.000 0.000 0.000
Cs 0.000 0.000 4.663
Cs 0.000 0.000 18.696
Na -1.923 -1.110 14.056
Na 0.000 -2.119 8.672
Na -1.835 1.060 8.672
Na 0.000 0.000 11.358
Na 1.923 -1.110 14.056
Na 0.000 2.220 14.056
Na 1.835 1.060 8.672
Na 0.000 0.000 29.460
Pb 0.000 0.000 22.952
```

## Properties
E_form ... 0.03 eV per atom
Space group ... No. 160



[10]
A plane-wave DFT calculation with PBE was carried out for a geometry-optimized Cs4Na4Pb structure.

extended XYZ file:
```
18
Lattice="12.078 0.000 0.000 0.000 12.078 0.000 0.000 0.000 8.697" Properties=species:S:1:pos:R:3 pbc="T T T"
Cs 12.077 3.028 0.590
Cs 0.001 9.050 8.107
Cs 3.011 12.077 3.758
Cs 3.028 6.040 3.758
Cs 6.040 3.011 0.590
Cs 6.038 9.066 8.107
Cs 9.050 6.038 4.939
Cs 9.066 0.001 4.939
Na 0.186 3.023 5.150
Na 3.016 0.186 7.897
Na 3.023 5.853 7.897
Na 5.853 3.016 5.150
Na 6.225 9.062 3.548
Na 9.054 6.225 0.801
Na 9.062 11.892 0.801
Na 11.892 9.054 3.548
Pb 3.019 3.019 6.523
Pb 9.058 9.058 2.174
```

## Properties
E_form ... 0.03 eV per atom
Space group ... No. 86



[11]
A plane-wave DFT calculation with PBE was carried out for a geometry-optimized CsNa2Pb6 structure.

extended XYZ file:
```
9
Lattice="7.907 -4.447 0.000 7.907 4.447 0.000 -1.565 0.000 4.744" Properties=species:S:1:pos:R:3 pbc="T T T"
Cs 0.000 0.000 0.000
Na 4.671 0.000 4.193
Na 9.579 0.000 0.550
Pb 1.994 1.667 3.298
Pb 7.125 1.512 2.372
Pb 1.994 -1.667 3.298
Pb 12.256 1.667 1.446
Pb 7.125 -1.512 2.372
Pb 12.256 -1.667 1.446
```

## Properties
E_form ... -0.05 eV per atom
Space group ... No. 12



[12]
A plane-wave DFT calculation with PBE was carried out for a geometry-optimized CsNa2PdPb structure.

extended XYZ file:
```
5
Lattice="5.803 0.000 0.000 0.000 5.803 0.000 0.000 0.000 5.294" Properties=species:S:1:pos:R:3 pbc="T T T"
Cs 0.000 0.000 0.000
Na 0.000 2.902 2.647
Na 2.902 0.000 2.647
Pd 2.902 2.902 2.647
Pb 2.902 2.902 0.000
```

## Properties
E_form ... -0.12 eV per atom
Space group ... No. 123



[13]
A plane-wave DFT calculation with PBE was carried out for a geometry-optimized CsNa2PdPb structure.

extended XYZ file:
```
5
Lattice="6.035 0.000 0.000 0.000 6.035 0.000 0.000 0.000 5.312" Properties=species:S:1:pos:R:3 pbc="T T T"
Cs 0.000 0.000 0.000
Na 0.000 3.018 2.656
Na 3.018 0.000 2.656
Pd 3.018 3.018 0.000
Pb 3.018 3.018 2.656
```

## Properties
E_form ... 0.01 eV per atom
Space group ... No. 123



[14]
A plane-wave DFT calculation with PBE was carried out for a geometry-optimized CsNa2PtPb structure.

extended XYZ file:
```
5
Lattice="5.805 0.000 0.000 0.000 5.805 0.000 0.000 0.000 5.244" Properties=species:S:1:pos:R:3 pbc="T T T"
Cs 0.000 0.000 0.000
Na 0.000 2.902 2.622
Na 2.902 0.000 2.622
Pt 2.902 2.902 2.622
Pb 2.902 2.902 0.000
```

## Properties
E_form ... -0.16 eV per atom
Space group ... No. 123



[15]
A plane-wave DFT calculation with PBE was carried out for a geometry-optimized Cs2RbNaPb structure.

extended XYZ file:
```
5
Lattice="7.621 0.000 0.000 0.000 7.621 0.000 0.000 0.000 6.334" Properties=species:S:1:pos:R:3 pbc="T T T"
Cs 0.000 3.810 0.000
Cs 3.810 0.000 0.000
Rb 0.000 0.000 3.167
Na 3.810 3.810 3.167
Pb 3.810 3.810 0.000
```

## Properties
E_form ... 0.06 eV per atom
Space group ... No. 123



[16]
A plane-wave DFT calculation with PBE was carried out for a geometry-optimized CsNaRhPb2 structure.

extended XYZ file:
```
5
Lattice="5.338 0.000 0.000 0.000 5.338 0.000 0.000 0.000 5.860" Properties=species:S:1:pos:R:3 pbc="T T T"
Cs 0.000 0.000 0.000
Na 2.669 2.669 0.000
Rh 2.669 2.669 2.930
Pb 0.000 2.669 2.930
Pb 2.669 0.000 2.930
```

## Properties
E_form ... -0.04 eV per atom
Space group ... No. 123



[17]
A plane-wave DFT calculation with PBE was carried out for a geometry-optimized CsNaPb2S structure.

extended XYZ file:
```
5
Lattice="6.462 0.000 0.000 0.000 6.462 0.000 0.000 0.000 5.928" Properties=species:S:1:pos:R:3 pbc="T T T"
Cs 0.000 0.000 0.000
Na 0.000 0.000 2.964
Pb 0.000 3.231 0.000
Pb 3.231 0.000 0.000
S 3.231 3.231 2.964
```

## Properties
Space group ... No. 123
Energy ... -1.571 eV per atom



[18]
A plane-wave DFT calculation with PBE was carried out for a geometry-optimized CsNa2Sb2Pb2 structure.

extended XYZ file:
```
7
Lattice="2.730 1.576 10.041 -2.730 1.576 10.041 0.000 -3.153 10.041" Properties=species:S:1:pos:R:3 pbc="T T T"
Cs 0.000 0.000 0.000
Na 0.000 0.000 4.211
Na 0.000 0.000 25.912
Sb 0.000 0.000 7.321
Sb 0.000 0.000 22.802
Pb 0.000 0.000 13.256
Pb 0.000 0.000 16.867
```

## Properties
Space group ... No. 166
Energy ... -3.014 eV per atom



[19]
A plane-wave DFT calculation with PBE was carried out for a geometry-optimized Cs2NaSb2Pb structure.

extended XYZ file:
```
12
Lattice="-3.795 8.850 3.797 3.795 -8.850 3.797 3.795 8.850 -3.797" Properties=species:S:1:pos:R:3 pbc="T T T"
Cs 1.813 3.034 0.000
Cs 1.813 -3.034 3.797
Cs 1.982 11.884 0.000
Cs 1.982 5.816 3.797
Na 0.000 0.000 1.898
Na 0.000 0.000 5.695
Sb 5.573 1.735 0.000
Sb 1.779 7.115 0.000
Sb 2.016 1.735 3.797
Sb -1.779 7.115 3.797
Pb 3.795 0.000 1.898
Pb 0.000 8.850 1.898
```

## Properties
Space group ... No. 72
Energy ... -2.901 eV per atom



[20]
A plane-wave DFT calculation with PBE was carried out for a geometry-optimized CsNa2SnPb structure.

extended XYZ file:
```
5
Lattice="6.036 0.000 0.000 0.000 6.036 0.000 0.000 0.000 6.128" Properties=species:S:1:pos:R:3 pbc="T T T"
Cs 0.000 0.000 0.000
Na 0.000 3.018 3.064
Na 3.018 0.000 3.064
Sn 3.018 3.018 3.064
Pb 3.018 3.018 0.000
```

## Properties
E_form ... -0.01 eV per atom
Space group ... No. 123